This record from Alexandria describes a geometry-optimized Cs2PaVO6 structure. The functional is PBE with a Hubbard U.

Results
Theoretical density (g cm⁻³): 4.8
Crystal system: trigonal
SG: P-3m1 (164)
Final energy (eV/atom): -7.1786

Cell lengths 6.6969, 6.6969, 5.7038 Å; angles 90.00, 90.00, 120.00 degrees
Fractional positions:
Cs 0.3333 0.6667 0.3693
Cs 0.6667 0.3333 0.6307
Pa 0.0000 0.0000 0.0000
V 0.0000 0.0000 0.5000
O 0.1274 0.2549 0.7171
O 0.1274 0.8726 0.7171
O 0.2549 0.1274 0.2829
O 0.7451 0.8726 0.7171
O 0.8726 0.1274 0.2829
O 0.8726 0.7451 0.2829